[1]
The following is a PBE calculation of a relaxed Pm2Er2Bi2C crystal, from Alexandria.

As for the mass density: 9.2 g cm⁻³. As for the formation energy: -0.70 eV/atom.

It has space group I4/mmm (No. 139), with a = 4.815 Å, b = 4.815 Å, c = 16.448 Å, α = 90.00°, β = 90.00° and γ = 90.00°. The asymmetric unit holds Pm at (0.000, 0.000, 0.158), Er at (0.000, 0.500, 0.000), Bi at (0.000, 0.000, 0.361) and C at (0.000, 0.000, 0.000).

=====

[2]
The following is a PBE calculation of a relaxed Er4Ru3Au crystal, from Alexandria.

As for the mass density: 12.2 g cm⁻³. As for the formation energy: -0.54 eV/atom.

It has space group P4/mmm (No. 123), with a = 4.817 Å, b = 4.817 Å, c = 6.871 Å, α = 90.00°, β = 90.00° and γ = 90.00°. The asymmetric unit holds Er at (0.000, 0.500, 0.241), Ru at (0.000, 0.000, 0.000), Ru at (0.000, 0.000, 0.500), Ru at (0.500, 0.500, 0.000) and Au at (0.500, 0.500, 0.500).